Entry 1:
{"formula": "CsTlPb2Se4", "functional": "PBE", "state": "optimized geometry", "lattice_angstrom": [[-5.438, -5.683, 4.425], [6.022, -0.576, 6.697], [-3.060, 7.916, -2.357]], "species": ["Se", "Se", "Se", "Pb", "Pb", "Se", "Se", "Cs", "Tl", "Cs", "Pb", "Tl", "Se", "Se", "Se", "Pb"], "frac_coords": [[0.269, 0.231, 0.509], [0.731, 0.769, 0.491], [0.293, 0.784, 0.038], [0.500, 0.000, 0.500], [0.500, 0.500, 0.000], [0.269, 0.231, 0.991], [0.707, 0.216, 0.962], [0.000, 0.500, 0.500], [0.000, 0.000, 0.000], [0.000, 0.500, 0.000], [0.000, 0.000, 0.500], [0.500, 0.500, 0.500], [0.284, 0.793, 0.538], [0.731, 0.769, 0.009], [0.716, 0.207, 0.462], [0.500, 0.000, 0.000]], "final_energy_ev_per_cell": -56.73, "raw_formation_energy_ev_per_atom": -0.47}

---

Entry 2:
{"formula": "CsTmPbSe3", "functional": "PBE", "state": "optimized geometry", "lattice_angstrom": [[4.154, 0.000, 0.000], [-2.077, 9.004, 0.000], [0.000, 0.000, 12.088]], "species": ["Se", "Se", "Se", "Se", "Se", "Pb", "Se", "Tm", "Cs", "Cs", "Tm", "Pb"], "frac_coords": [[0.606, 0.213, 0.496], [0.394, 0.787, 0.504], [0.606, 0.213, 0.004], [0.394, 0.787, 0.996], [0.006, 0.011, 0.750], [0.398, 0.796, 0.750], [0.994, 0.989, 0.250], [0.000, 0.000, 0.500], [0.311, 0.623, 0.250], [0.689, 0.377, 0.750], [0.000, 0.000, 0.000], [0.602, 0.204, 0.250]], "final_energy_ev_per_cell": -53.41, "raw_formation_energy_ev_per_atom": -1.20}

---

Entry 3:
{"formula": "Cs3Tm2PbSe6", "functional": "PBE", "state": "optimized geometry", "lattice_angstrom": [[-3.402, 0.822, -6.552], [4.138, -6.028, 1.313], [-6.975, -2.237, 4.738]], "species": ["Pb", "Se", "Se", "Tm", "Se", "Se", "Se", "Cs", "Tm", "Cs", "Cs", "Se"], "frac_coords": [[0.000, 0.000, 0.000], [0.938, 0.589, 0.813], [0.589, 0.938, 0.813], [0.333, 0.667, 0.000], [0.713, 0.713, 0.185], [0.411, 0.062, 0.187], [0.287, 0.287, 0.815], [0.500, 0.500, 0.500], [0.667, 0.333, 0.000], [0.838, 0.162, 0.500], [0.162, 0.838, 0.500], [0.062, 0.411, 0.187]], "final_energy_ev_per_cell": -52.34, "raw_formation_energy_ev_per_atom": -1.35}

---

Entry 4:
{"formula": "Cs2UPbSe5", "functional": "PBE", "state": "optimized geometry", "lattice_angstrom": [[4.382, 0.000, 0.000], [-2.191, 9.805, 0.000], [0.000, 0.000, 16.530]], "species": ["Se", "Cs", "Cs", "Se", "Se", "Cs", "U", "Se", "Se", "Se", "Se", "Cs", "Se", "U", "Se", "Pb", "Pb", "Se"], "frac_coords": [[0.271, 0.542, 0.629], [0.912, 0.824, 0.159], [0.145, 0.289, 0.301], [0.916, 0.832, 0.564], [0.499, 0.998, 0.789], [0.088, 0.176, 0.659], [0.215, 0.430, 0.027], [0.309, 0.617, 0.421], [0.501, 0.002, 0.289], [0.084, 0.168, 0.064], [0.657, 0.314, 0.491], [0.855, 0.711, 0.801], [0.691, 0.383, 0.921], [0.785, 0.570, 0.527], [0.729, 0.458, 0.129], [0.457, 0.915, 0.443], [0.543, 0.085, 0.943], [0.343, 0.686, 0.991]], "final_energy_ev_per_cell": -84.98, "raw_formation_energy_ev_per_atom": -0.93}

---

Entry 5:
{"formula": "CsVPbSe4", "functional": "PBE", "state": "optimized geometry", "lattice_angstrom": [[7.068, 0.000, -0.048], [0.000, 7.299, 0.000], [-2.833, 0.000, 9.290]], "species": ["Cs", "Se", "Pb", "Se", "Se", "Se", "Se", "Pb", "V", "Se", "Cs", "V", "Se", "Se"], "frac_coords": [[0.732, 0.750, 0.931], [0.391, 0.750, 0.170], [0.751, 0.750, 0.439], [0.399, 0.750, 0.557], [0.601, 0.250, 0.443], [0.007, 0.000, 0.708], [0.993, 0.500, 0.292], [0.249, 0.250, 0.561], [0.800, 0.250, 0.676], [0.007, 0.500, 0.708], [0.268, 0.250, 0.069], [0.200, 0.750, 0.324], [0.993, 0.000, 0.292], [0.609, 0.250, 0.830]], "final_energy_ev_per_cell": -66.41, "raw_formation_energy_ev_per_atom": -0.80}

---

Entry 6:
{"formula": "Cs2SiPb", "functional": "PBE", "state": "optimized geometry", "lattice_angstrom": [[3.585, -4.527, 2.740], [-2.516, -5.737, 1.269], [1.828, -5.109, -3.377]], "species": ["Cs", "Si", "Pb", "Cs"], "frac_coords": [[0.250, 0.250, 0.250], [0.000, 0.000, 0.000], [0.500, 0.500, 0.500], [0.750, 0.750, 0.750]], "de_polymorph_kj_per_mol_fu": 115, "final_energy_ev_per_cell": -8.77, "raw_formation_energy_ev_per_atom": 0.52}

---

Entry 7:
{"formula": "Cs2Si2Pb", "functional": "PBE", "state": "optimized geometry", "lattice_angstrom": [[7.542, 0.000, 0.000], [0.000, 7.542, 0.000], [0.000, 0.000, 6.243]], "species": ["Cs", "Si", "Si", "Si", "Cs", "Pb", "Cs", "Pb", "Si", "Cs"], "frac_coords": [[0.805, 0.305, 0.500], [0.106, 0.394, 0.000], [0.394, 0.894, 0.000], [0.606, 0.106, 0.000], [0.305, 0.195, 0.500], [0.000, 0.000, 0.000], [0.195, 0.695, 0.500], [0.500, 0.500, 0.000], [0.894, 0.606, 0.000], [0.695, 0.805, 0.500]], "final_energy_ev_per_cell": -30.50, "raw_formation_energy_ev_per_atom": 0.20}

---

Entry 8:
{"formula": "Cs3SiPb", "functional": "PBE", "state": "optimized geometry", "lattice_angstrom": [[-2.679, 1.424, 8.893], [2.621, -7.370, 1.970], [14.126, 5.497, 1.774]], "species": ["Pb", "Si", "Cs", "Cs", "Cs", "Pb", "Pb", "Cs", "Pb", "Si", "Cs", "Si", "Cs", "Cs", "Cs", "Cs", "Cs", "Si", "Cs", "Cs"], "frac_coords": [[0.904, 0.311, 0.331], [0.891, 0.936, 0.700], [0.752, 0.642, 0.155], [0.483, 0.188, 0.378], [0.865, 0.815, 0.430], [0.096, 0.689, 0.669], [0.904, 0.689, 0.831], [0.135, 0.185, 0.570], [0.096, 0.311, 0.169], [0.891, 0.064, 0.200], [0.135, 0.815, 0.070], [0.109, 0.064, 0.300], [0.483, 0.812, 0.878], [0.517, 0.188, 0.122], [0.248, 0.642, 0.345], [0.517, 0.812, 0.622], [0.752, 0.358, 0.655], [0.109, 0.936, 0.800], [0.248, 0.358, 0.845], [0.865, 0.185, 0.930]], "final_energy_ev_per_cell": -47.61, "raw_formation_energy_ev_per_atom": -0.04}

---

Entry 9:
{"formula": "Cs2SiPb", "functional": "PBE", "state": "optimized geometry", "lattice_angstrom": [[13.610, 0.000, 0.000], [0.000, 13.610, 0.000], [6.805, 6.805, 2.791]], "species": ["Si", "Cs", "Cs", "Cs", "Si", "Pb", "Pb", "Cs"], "frac_coords": [[0.500, 0.500, 0.000], [0.445, 0.125, 0.250], [0.875, 0.695, 0.750], [0.305, 0.625, 0.250], [0.250, 0.750, 0.500], [0.750, 0.250, 0.500], [0.000, 0.000, 0.000], [0.375, 0.555, 0.750]], "de_polymorph_kj_per_mol_fu": 0, "final_energy_ev_per_cell": -19.92, "raw_formation_energy_ev_per_atom": 0.22}

---

Entry 10:
{"formula": "CsSiTePb2", "functional": "PBE", "state": "optimized geometry", "lattice_angstrom": [[6.088, 0.000, 0.000], [0.000, 6.985, 0.000], [0.000, 0.000, 6.088]], "species": ["Cs", "Pb", "Si", "Pb", "Te"], "frac_coords": [[0.000, 0.500, 0.000], [0.500, 0.000, 0.000], [0.500, 0.500, 0.500], [0.000, 0.000, 0.500], [0.000, 0.000, 0.000]], "final_energy_ev_per_cell": -13.43, "raw_formation_energy_ev_per_atom": 0.68}

---

Entry 11:
{"formula": "Cs2SiTe4Pb", "functional": "PBE", "state": "optimized geometry", "lattice_angstrom": [[7.263, 0.000, 0.000], [3.631, 7.797, 0.000], [3.631, 0.000, 13.715]], "species": ["Te", "Te", "Te", "Te", "Te", "Pb", "Cs", "Cs", "Te", "Te", "Te", "Si", "Pb", "Si", "Cs", "Cs"], "frac_coords": [[0.483, 0.304, 0.610], [0.212, 0.304, 0.390], [0.398, 0.696, 0.390], [0.906, 0.696, 0.610], [0.267, 0.196, 0.890], [0.750, 0.500, 0.500], [0.816, 0.000, 0.367], [0.566, 0.500, 0.867], [0.844, 0.804, 0.890], [0.538, 0.196, 0.110], [0.352, 0.804, 0.110], [0.500, 0.000, 0.000], [0.000, 0.000, 0.000], [0.250, 0.500, 0.500], [0.934, 0.500, 0.133], [0.184, 0.000, 0.633]], "final_energy_ev_per_cell": -55.89, "raw_formation_energy_ev_per_atom": -0.57}

---

Entry 12:
{"formula": "CsSiTe3Pb", "functional": "PBE", "state": "optimized geometry", "lattice_angstrom": [[7.784, -0.669, 0.919], [3.057, 7.190, 0.919], [4.140, 2.491, 9.295]], "species": ["Te", "Pb", "Te", "Te", "Te", "Si", "Cs", "Pb", "Cs", "Te", "Si", "Te"], "frac_coords": [[0.295, 0.833, 0.155], [0.720, 0.280, 0.500], [0.167, 0.705, 0.845], [0.705, 0.167, 0.845], [0.726, 0.726, 0.383], [0.975, 0.975, 0.130], [0.698, 0.698, 0.794], [0.280, 0.720, 0.500], [0.302, 0.302, 0.206], [0.833, 0.295, 0.155], [0.025, 0.025, 0.870], [0.274, 0.274, 0.617]], "final_energy_ev_per_cell": -43.22, "raw_formation_energy_ev_per_atom": -0.37}

---

Entry 13:
{"formula": "CsSmPb2", "functional": "PBE", "state": "optimized geometry", "lattice_angstrom": [[-2.004, -2.146, 2.531], [-1.765, -3.243, -1.179], [8.213, -7.819, 2.842]], "species": ["Pb", "Pb", "Cs", "Sm"], "frac_coords": [[0.260, 0.260, 0.221], [0.740, 0.740, 0.779], [0.500, 0.500, 0.500], [0.000, 0.000, 0.000]], "de_polymorph_kj_per_mol_fu": 76, "final_energy_ev_per_cell": -13.51, "e_form_mev_per_atom": -131.2}

---

Entry 14:
{"formula": "CsSmPb4", "functional": "PBE", "state": "optimized geometry", "lattice_angstrom": [[-0.131, 6.140, 2.572], [0.110, 0.846, 6.603], [5.426, 2.492, 2.947]], "species": ["Cs", "Pb", "Pb", "Pb", "Pb", "Sm"], "frac_coords": [[0.250, 0.250, 0.250], [0.627, 0.120, 0.627], [0.627, 0.627, 0.120], [0.120, 0.627, 0.627], [0.627, 0.627, 0.627], [0.000, 0.000, 0.000]], "final_energy_ev_per_cell": -20.95, "e_form_mev_per_atom": -90.4}

---

Entry 15:
{"formula": "CsSmPb2", "functional": "PBE", "state": "optimized geometry", "lattice_angstrom": [[4.247, 0.000, 0.000], [0.000, 4.247, 0.000], [0.000, 0.000, 8.600]], "species": ["Pb", "Pb", "Cs", "Sm"], "frac_coords": [[0.000, 0.000, 0.179], [0.000, 0.000, 0.821], [0.500, 0.500, 0.500], [0.500, 0.500, 0.000]], "de_polymorph_kj_per_mol_fu": 0, "final_energy_ev_per_cell": -14.31, "e_form_mev_per_atom": -329.3}

---

Entry 16:
{"formula": "Cs3Sm2Te6Pb", "functional": "PBE", "state": "optimized geometry", "lattice_angstrom": [[-2.123, 4.947, -5.999], [-5.527, -2.517, 5.300], [4.323, 6.291, 5.459]], "species": ["Te", "Pb", "Te", "Te", "Te", "Cs", "Sm", "Te", "Cs", "Sm", "Te", "Cs"], "frac_coords": [[0.410, 0.065, 0.195], [0.000, 0.000, 0.000], [0.590, 0.935, 0.805], [0.935, 0.590, 0.805], [0.720, 0.720, 0.194], [0.500, 0.500, 0.500], [0.667, 0.333, 0.000], [0.280, 0.280, 0.806], [0.163, 0.837, 0.500], [0.333, 0.667, 0.000], [0.065, 0.410, 0.195], [0.837, 0.163, 0.500]], "final_energy_ev_per_cell": -47.82, "raw_formation_energy_ev_per_atom": -1.11}

---

Entry 17:
{"formula": "CsSmTe3Pb", "functional": "PBE", "state": "optimized geometry", "lattice_angstrom": [[-3.729, 1.100, -2.391], [5.240, -0.578, -8.438], [-4.893, -11.084, 2.533]], "species": ["Sm", "Sm", "Cs", "Pb", "Te", "Te", "Pb", "Te", "Cs", "Te", "Te", "Te"], "frac_coords": [[0.250, 0.637, 0.151], [0.750, 0.363, 0.849], [0.250, 0.224, 0.267], [0.750, 0.863, 0.433], [0.750, 0.408, 0.110], [0.250, 0.653, 0.415], [0.250, 0.137, 0.567], [0.250, 0.125, 0.804], [0.750, 0.776, 0.733], [0.750, 0.347, 0.585], [0.250, 0.592, 0.890], [0.750, 0.875, 0.196]], "final_energy_ev_per_cell": -49.78, "raw_formation_energy_ev_per_atom": -1.03}

---

Entry 18:
{"formula": "Cs3Sn8Pb3", "functional": "PBE", "state": "optimized geometry", "lattice_angstrom": [[5.349, 0.000, 0.000], [2.674, 9.771, -0.124], [2.674, 2.541, 9.436]], "species": ["Cs", "Sn", "Sn", "Pb", "Cs", "Cs", "Sn", "Sn", "Sn", "Pb", "Pb", "Sn", "Sn", "Sn"], "frac_coords": [[0.500, 0.500, 0.500], [0.842, 0.798, 0.518], [0.347, 0.379, 0.927], [0.000, 0.807, 0.193], [0.800, 0.200, 0.200], [0.200, 0.800, 0.800], [0.347, 0.927, 0.379], [0.842, 0.518, 0.798], [0.158, 0.482, 0.202], [0.000, 0.193, 0.807], [0.500, 0.000, 0.000], [0.158, 0.202, 0.482], [0.653, 0.073, 0.621], [0.653, 0.621, 0.073]], "final_energy_ev_per_cell": -47.29, "e_form_mev_per_atom": -112.8}

---

Entry 19:
{"formula": "Cs2Sn3Pb9", "functional": "PBE", "state": "optimized geometry", "lattice_angstrom": [[-6.731, -7.250, -1.481], [9.871, -1.520, 0.566], [-0.485, 3.504, 12.623]], "species": ["Pb", "Cs", "Pb", "Pb", "Pb", "Pb", "Sn", "Pb", "Sn", "Cs", "Pb", "Sn", "Pb", "Cs", "Sn", "Pb", "Pb", "Sn", "Pb", "Pb", "Pb", "Pb", "Pb", "Pb", "Pb", "Sn", "Cs", "Pb"], "frac_coords": [[0.152, 0.993, 0.973], [0.636, 0.757, 0.233], [0.907, 0.157, 0.750], [0.093, 0.843, 0.250], [0.707, 0.757, 0.764], [0.741, 0.465, 0.391], [0.500, 0.000, 0.000], [0.810, 0.308, 0.935], [0.812, 0.643, 0.995], [0.977, 0.597, 0.733], [0.507, 0.057, 0.264], [0.148, 0.817, 0.505], [0.493, 0.943, 0.736], [0.023, 0.403, 0.267], [0.188, 0.357, 0.005], [0.848, 0.007, 0.027], [0.293, 0.243, 0.236], [0.852, 0.183, 0.495], [0.521, 0.179, 0.527], [0.426, 0.650, 0.891], [0.874, 0.875, 0.565], [0.126, 0.125, 0.435], [0.574, 0.350, 0.109], [0.479, 0.821, 0.473], [0.190, 0.692, 0.065], [0.500, 0.500, 0.500], [0.364, 0.243, 0.767], [0.259, 0.535, 0.609]], "final_energy_ev_per_cell": -95.13, "e_form_mev_per_atom": -34.0}

---

Entry 20:
{"formula": "CsSn2Pb3", "functional": "PBE", "state": "optimized geometry", "lattice_angstrom": [[-4.233, 1.214, -1.368], [-0.875, -4.570, -9.120], [-5.459, -8.520, 1.564]], "species": ["Cs", "Sn", "Pb", "Sn", "Pb", "Pb", "Cs", "Pb", "Pb", "Sn", "Pb", "Sn"], "frac_coords": [[0.131, 0.869, 0.869], [0.500, 0.187, 0.813], [0.000, 0.644, 0.356], [0.500, 0.813, 0.187], [0.327, 0.482, 0.864], [0.673, 0.518, 0.136], [0.869, 0.131, 0.131], [0.000, 0.356, 0.644], [0.327, 0.864, 0.482], [0.830, 0.670, 0.670], [0.673, 0.136, 0.518], [0.170, 0.330, 0.330]], "de_polymorph_kj_per_mol_fu": 4, "final_energy_ev_per_cell": -40.40, "e_form_mev_per_atom": -35.8}